(1)
Material: CeNd2Tm
Method: DFT, PBE
State: optimized geometry

Results
Energy relative to the lowest polymorph listed for this composition (meV per atom): 0.0

a = 11.880 Å, b = 11.880 Å, c = 11.880 Å
α = 17.35°, β = 17.35°, γ = 17.35°
Sites, in units of the cell vectors:
1 Ce 0.000 0.000 0.000
2 Nd 0.583 0.583 0.583
3 Nd 0.750 0.750 0.750
4 Tm 0.167 0.167 0.167

---

(2)
Material: CeNd2Tm5
Method: DFT, PBE
State: optimized geometry

a = 10.522 Å, b = 10.522 Å, c = 10.522 Å
α = 152.31°, β = 152.31°, γ = 39.56°
Sites, in units of the cell vectors:
1 Ce 0.000 0.000 0.000
2 Nd 0.248 0.248 0.000
3 Nd 0.752 0.752 0.000
4 Tm 0.122 0.622 0.500
5 Tm 0.378 0.878 0.500
6 Tm 0.500 0.500 0.000
7 Tm 0.622 0.122 0.500
8 Tm 0.878 0.378 0.500

---

(3)
Material: CeNd4Tm7
Method: DFT, PBE
State: optimized geometry

a = 10.002 Å, b = 10.002 Å, c = 5.956 Å
α = 90.74°, β = 90.74°, γ = 40.48°
Sites, in units of the cell vectors:
1 Ce 0.000 0.000 0.000
2 Nd 0.141 0.588 0.257
3 Nd 0.412 0.859 0.743
4 Nd 0.588 0.141 0.257
5 Nd 0.859 0.412 0.743
6 Tm 0.000 0.000 0.500
7 Tm 0.185 0.185 0.252
8 Tm 0.284 0.284 0.758
9 Tm 0.459 0.459 0.749
10 Tm 0.541 0.541 0.251
11 Tm 0.716 0.716 0.242
12 Tm 0.815 0.815 0.748

---

(4)
Material: Ce2NdTm
Method: DFT, PBE
State: optimized geometry

Results
Energy relative to the lowest polymorph listed for this composition (meV per atom): 16.7

a = 3.483 Å, b = 3.483 Å, c = 10.183 Å
α = 90.00°, β = 90.00°, γ = 90.00°
Sites, in units of the cell vectors:
1 Ce 0.000 0.000 0.245
2 Ce 0.000 0.000 0.755
3 Nd 0.500 0.500 0.500
4 Tm 0.500 0.500 0.000

---

Q: Which electronic total energy values were calculated for the entries above? A: -4.92, -4.68, -4.54, -5.16, in eV/atom.
Q: Which M_tot values were calculated for the entries above? A: 0.7, 0.9, 1.5, 1.6, in μB per cell.
Q: Which DFT formation energy values were calculated for the entries above? A: 0.070, 0.049, 0.156, 0.116, in eV/atom.